(1)
Below is a relaxed Mg3GaSi crystal, with properties calculated at the PBE level.

Output
Energy above the most stable polymorph in this dataset in kJ per mole of atoms: 20.4
Mass density in g/cm3: 2.31
Spin magnetization in μB per atom: 0.00
E_form (uncorrected) in meV per atom: 458
DOS at the Fermi energy in states/eV/cell: 3.72

The structure in POSCAR format:
```
Mg3GaSi
1.0
-0.542 -3.883 3.054
4.130 -2.042 -1.863
2.711 2.335 3.449
Si Mg Ga
1 3 1
Cartesian
3.149 -1.795 2.320 Si
2.065 -1.021 -0.932 Mg
1.355 1.168 1.725 Mg
-0.271 -1.941 1.527 Mg
0.000 0.000 0.000 Ga
```

(2)
Below is a relaxed FeSbIr2 crystal, with properties calculated at the PBE level.

Output
Mass density in g/cm3: 15.06
Spin magnetization in μB per atom: 0.75
E_form (uncorrected) in meV per atom: 103
DOS at the Fermi energy in states/eV/cell: 3.89

The structure in POSCAR format:
```
FeSbIr2
1.0
-1.161 -3.120 -1.758
3.214 -2.011 1.446
-2.138 -1.054 3.284
Fe Ir Sb
1 2 1
Cartesian
-1.650 -2.087 0.763 Fe
0.000 0.000 0.000 Ir
0.538 -1.533 2.365 Ir
1.026 -2.566 -0.156 Sb
```

(3)
Below is a relaxed TlIr2W crystal, with properties calculated at the PBE level.

Output
Energy above the most stable polymorph in this dataset in kJ per mole of atoms: 33.2
Mass density in g/cm3: 19.34
Spin magnetization in μB per atom: 0.00
DOS at the Fermi energy in states/eV/cell: 2.09
Energy of formation in eV/atom: 0.4151

The structure in POSCAR format:
```
TlIr2W
1.0
-2.517 -0.447 6.055
4.650 -1.015 -1.009
0.853 2.026 1.905
Ir Tl W
2 1 1
Cartesian
0.000 0.000 0.000 Ir
-0.832 0.789 3.980 Ir
2.752 0.505 0.448 Tl
1.066 -0.731 2.523 W
```

(4)
Below is a relaxed SmScGaSn crystal, with properties calculated at the PBE level.

Output
Mass density in g/cm3: 6.64
Spin magnetization in μB per atom: 0.00
DOS at the Fermi energy in states/eV/cell: 3.66
Energy of formation in eV/atom: -0.5025

The structure in POSCAR format:
```
SmScGaSn
1.0
5.140 0.000 0.000
2.570 4.451 0.000
2.570 1.484 4.196
Sc Ga Sn Sm
1 1 1 1
Cartesian
5.140 2.967 2.098 Sc
7.709 4.451 3.147 Ga
2.570 1.484 1.049 Sn
0.000 0.000 0.000 Sm
```

(5)
Below is a relaxed AsPC crystal, with properties calculated at the PBE level.

Output
Energy above the most stable polymorph in this dataset in kJ per mole of atoms: 6.2
Mass density in g/cm3: 4.06
Spin magnetization in μB per atom: 0.00
DOS at the Fermi energy in states/eV/cell: 0.86
Energy of formation in eV/atom: 0.4437

The structure in POSCAR format:
```
AsPC
1.0
2.907 0.000 -0.003
1.453 2.517 -0.004
0.191 0.147 6.591
P As C
1 1 1
Cartesian
1.926 2.559 5.893 P
1.926 2.560 3.421 As
3.380 1.720 6.439 C
```

(6)
Below is a relaxed GaHS2Cl crystal, with properties calculated at the PBE level.

Output
Energy above the most stable polymorph in this dataset in kJ per mole of atoms: 33.2
Mass density in g/cm3: 2.51
Spin magnetization in μB per atom: 0.51
DOS at the Fermi energy in states/eV/cell: 3.43

The structure in POSCAR format:
```
GaHS2Cl
1.0
4.732 0.000 0.000
0.000 4.732 0.000
0.000 0.000 5.023
H S Ga Cl
1 2 1 1
Cartesian
2.366 2.366 2.511 H
0.000 2.366 0.000 S
2.366 0.000 0.000 S
0.000 0.000 0.000 Ga
0.000 0.000 2.511 Cl
```

(7)
Below is a relaxed Rb2CeSb2S6 crystal, with properties calculated at the PBE level.

Output
Mass density in g/cm3: 3.59
Spin magnetization in μB per atom: 0.00
E_form (uncorrected) in meV per atom: -922

The structure in POSCAR format:
```
Rb2CeSb2S6
1.0
-1.070 -0.160 -7.402
-4.662 -1.989 4.497
-0.233 8.699 -0.155
Rb Ce Sb S
2 1 2 6
Cartesian
-2.544 0.215 -3.417 Rb
-3.422 6.333 0.357 Rb
-0.652 4.269 -3.778 Ce
-5.030 4.993 -3.161 Sb
-0.936 1.556 0.102 Sb
-3.188 3.451 -3.394 S
-4.523 0.248 2.490 S
-0.922 6.379 -1.944 S
-1.443 6.301 -5.549 S
-5.044 0.169 -1.116 S
-2.777 3.098 0.334 S
```

(8)
Below is a relaxed BSbNF2 crystal, with properties calculated at the PBE level.

Output
Energy above the most stable polymorph in this dataset in kJ per mole of atoms: 0.0
Mass density in g/cm3: 5.22
Spin magnetization in μB per atom: 0.00
E_form (uncorrected) in meV per atom: -814
DOS at the Fermi energy in states/eV/cell: 0.84

The structure in POSCAR format:
```
BSbNF2
1.0
4.632 0.000 0.000
0.000 4.632 0.000
0.000 0.000 2.738
Sb B N F
1 1 1 2
Cartesian
2.316 2.316 1.369 Sb
0.000 0.000 0.000 B
0.000 0.000 1.369 N
0.000 2.316 0.000 F
2.316 0.000 0.000 F
```

(9)
Below is a relaxed Na2PtSe crystal, with properties calculated at the PBE level.

Output
Mass density in g/cm3: 6.28
Spin magnetization in μB per atom: 0.00
E_form (uncorrected) in meV per atom: -302
DOS at the Fermi energy in states/eV/cell: 1.28

The structure in POSCAR format:
```
Na2PtSe
1.0
8.155 0.000 0.000
0.000 8.155 0.000
4.078 4.078 2.544
Na Se Pt
4 2 2
Cartesian
6.035 2.039 0.636 Na
2.120 6.116 0.636 Na
6.116 6.198 1.908 Na
10.194 10.112 1.908 Na
4.078 4.078 0.000 Se
4.078 8.155 1.272 Se
0.000 0.000 0.000 Pt
8.155 4.078 1.272 Pt
```